Computed, not measured: Ca2MgZr after structural relaxation at the PBE level of DFT.

Cell and atoms, written as POSCAR:
```
Ca2MgZr
1.0
-4.401 1.345 3.989
-5.261 -2.572 -1.671
5.631 -2.217 0.679
Ca Mg Zr
2 1 1
direct
0.000 0.000 0.000
0.500 0.500 0.000
0.250 0.750 0.500
0.750 0.250 0.500
```

For the formation energy, the calculation gives 0.327 eV per atom. The volume comes out at 120 Å³ per cell.



Computed, not measured: PmPr6Te8 after structural relaxation at the PBE level of DFT.

Cell and atoms, written as POSCAR:
```
PmPr6Te8
1.0
0.242 1.950 8.807
-0.696 -6.608 6.105
7.173 -2.347 4.946
Pm Pr Te
1 6 8
direct
0.000 0.000 0.000
0.000 0.500 0.500
0.500 0.000 0.000
0.500 0.500 0.000
0.000 0.000 0.500
0.000 0.500 0.000
0.500 0.000 0.500
0.750 0.750 0.750
0.250 0.250 0.250
0.747 0.253 0.253
0.253 0.747 0.747
0.253 0.253 0.747
0.747 0.747 0.253
0.747 0.253 0.747
0.253 0.747 0.253
```

The uncorrected formation energy is -1.469 eV/atom. The volume comes out at 520 Å³ per cell.



| no. | E (eV per cell) | magnetization (μB/atom) |
| --- | --- | --- |
| 1 | -12.84 | 0.649 |
| 2 | -80.60 | 0.000 |